Computed, not measured: a crystal of ZnCd2Br relaxed with PBEsol at the SCAN level of DFT.

* energy above the most stable polymorph in this dataset: 0.108 eV per atom
* total moment: 0.0 μB per formula unit

Cell lengths 3.306, 3.306, 7.750 Å; angles 90.00, 90.00, 90.00 degrees
Positions (direct):
Cd: 0.000 0.000 0.223
Br: 0.500 0.500 0.500
Cd: 0.000 0.000 0.777
Zn: 0.500 0.500 0.000